La2PrMg2Si4Pd2 | GGA-PBE | optimized geometry

Output
Energy: -5.29 eV/atom
SG: Immm

Cell lengths 13.449, 13.449, 13.449 Å; angles 161.79, 161.61, 25.99 degrees
Fractional coordinates of all 11 atoms:
La (0.639, 0.139, 0.500)
La (0.361, 0.861, 0.500)
Mg (0.250, 0.250, 0.000)
Mg (0.750, 0.750, 0.000)
Pd (0.909, 0.409, 0.500)
Pd (0.091, 0.591, 0.500)
Pr (0.000, 0.000, 0.000)
Si (0.454, 0.454, 0.000)
Si (0.546, 0.546, 0.000)
Si (0.815, 0.315, 0.500)
Si (0.185, 0.685, 0.500)